No. 1
This record from Alexandria describes a relaxed LaPmMgCo crystal. The functional is PBE-GGA.

The structure in POSCAR format:
```
LaPmMgCo
1.0
-2.298 4.170 -2.147
-4.432 1.875 2.031
0.013 4.575 2.519
Co Pm La Mg
1 1 1 1
direct
0.500 0.500 0.500
0.250 0.250 0.250
0.750 0.750 0.750
0.000 0.000 0.000
```

Values from the calculation:
- energy relative to the elements (eV/atom) = 0.078
- total magnetization (μB per atom) = 0.119
- symmetry = F-43m, No. 216



No. 2
This record from Alexandria describes a relaxed Zn5GaCu crystal. The functional is PBE-GGA.

The structure in POSCAR format:
```
Zn5GaCu
1.0
7.412 -0.852 -0.248
1.543 7.300 -0.248
3.003 2.162 3.860
Zn Ga Cu
10 2 2
direct
0.587 0.843 0.709
0.766 0.234 0.250
0.413 0.157 0.291
0.157 0.413 0.791
0.234 0.766 0.750
0.137 0.415 0.323
0.585 0.863 0.177
0.843 0.587 0.209
0.863 0.585 0.677
0.415 0.137 0.823
0.000 0.000 0.500
0.000 0.000 0.000
0.506 0.494 0.250
0.494 0.506 0.750
```

Values from the calculation:
- energy relative to the elements (eV/atom) = 0.029
- total magnetization (μB per atom) = 0.000
- symmetry = C2/c, No. 15



No. 3
This record from Alexandria describes a relaxed MgTc2Se crystal. The functional is PBE-GGA.

The structure in POSCAR format:
```
MgTc2Se
1.0
-2.704 -0.816 -0.821
2.235 -1.559 -1.108
-0.413 -5.299 6.623
Se Tc Mg
1 2 1
direct
0.500 0.500 0.750
0.000 0.000 0.976
0.000 0.000 0.524
0.500 0.500 0.250
```

Values from the calculation:
- energy above the most stable polymorph in this dataset (eV/atom) = 0.4841
- total magnetization (μB per atom) = 0.000
- symmetry = Cmmm, No. 65